Record 1
Compound: AlTlSi3
Source: Alexandria
Functional: GGA-PBE
Structure: optimized geometry

Properties
ΔE_f (raw) = 0.80 eV per atom
final energy = -3.677 eV per atom
offset from the most stable computed form = 0.0 kJ per mole of atoms
V = 114 Å³/cell
magnetization = 0.00 Bohr magnetons per cell

Unit cell a=4.8509 b=4.8509 c=4.8509 alpha=90.00 beta=90.00 gamma=90.00
Closest atoms and distances in Å follow each position.
Fractional positions:
Si 0.0000 0.5000 0.0000  2 Al 2.43
Si 0.5000 0.0000 0.0000  2 Al 2.43
Al 0.0000 0.0000 0.0000  6 Si 2.43
Si 0.0000 0.0000 0.5000  2 Al 2.43
Tl 0.5000 0.5000 0.5000  12 Si 3.43



Record 2
Compound: SrGdZnIn
Source: Alexandria
Functional: GGA-PBE
Structure: optimized geometry

Properties
final energy = -5.252 eV per atom
V = 114 Å³/cell
calculated formation energy = -0.31 eV per atom
magnetization = 7.17 Bohr magnetons per cell

Unit cell a=5.4499 b=5.4499 c=5.4499 alpha=60.00 beta=60.00 gamma=60.00
Closest atoms and distances in Å follow each position.
Fractional positions:
In 0.5000 0.5000 0.5000  4 Sr 3.34, 4 Gd 3.34
Sr 0.2500 0.2500 0.2500  4 In 3.34, 4 Zn 3.34
Gd 0.7500 0.7500 0.7500  4 Zn 3.34, 4 In 3.34
Zn 0.0000 0.0000 0.0000  4 Gd 3.34, 4 Sr 3.34



Record 3
Compound: Rb2NaAuF
Source: Alexandria
Functional: GGA-PBE
Structure: optimized geometry

Properties
ΔE_f (raw) = -1.11 eV per atom
final energy = -2.791 eV per atom
V = 154 Å³/cell
magnetization = 0.00 Bohr magnetons per cell

Unit cell a=5.6952 b=5.6952 c=4.7501 alpha=90.00 beta=90.00 gamma=90.00
Closest atoms and distances in Å follow each position.
Fractional positions:
Au 0.5000 0.5000 0.5000  8 Rb 3.71, 4 Na 4.03
Na 0.0000 0.0000 0.5000  2 F 2.38
Rb 0.5000 0.0000 0.0000  2 F 2.85
Rb 0.0000 0.5000 0.0000  2 F 2.85
F 0.0000 0.0000 0.0000  2 Na 2.38



Record 4
Compound: La2TmSb3
Source: Alexandria
Functional: GGA-PBE
Structure: optimized geometry

Properties
ΔE_f (raw) = -1.19 eV per atom
final energy = -5.636 eV per atom
offset from the most stable computed form = 0.6 kJ per mole of atoms
V = 198 Å³/cell
magnetization = 0.00 Bohr magnetons per cell

Unit cell a=4.5381 b=6.4304 c=7.8374 alpha=114.22 beta=106.83 gamma=90.00
Closest atoms and distances in Å follow each position.
Fractional positions:
Sb 0.3425 0.3425 0.6851  2 Tm 3.12, 4 La 3.22-3.27
Sb 0.6575 0.6575 0.3149  2 Tm 3.12, 4 La 3.22-3.27
La 0.6688 0.1688 0.3376  6 Sb 3.22-3.27
Sb 0.0000 0.0000 0.0000  2 Tm 3.22, 4 La 3.22
La 0.3312 0.8312 0.6624  6 Sb 3.22-3.27
Tm 0.0000 0.5000 0.0000  6 Sb 3.12-3.22



Record 5
Compound: Pm2DyZrP4
Source: Alexandria
Functional: GGA-PBE
Structure: optimized geometry

Properties
final energy = -7.058 eV per atom
V = 180 Å³/cell
calculated formation energy = -1.52 eV per atom
magnetization = 0.00 Bohr magnetons per cell

Unit cell a=3.9864 b=6.9085 c=6.9228 alpha=109.25 beta=90.00 gamma=90.00
Closest atoms and distances in Å follow each position.
Fractional positions:
Pm 0.0000 0.5000 0.5000  6 P 2.92
Pm 0.5000 0.0000 0.5000  6 P 2.85-2.86
P 0.0000 0.2464 0.7641  1 Zr 2.72, 2 Dy 2.80, 3 Pm 2.86-2.92
P 0.0000 0.7536 0.2359  1 Zr 2.72, 2 Dy 2.80, 3 Pm 2.86-2.92
Dy 0.5000 0.5000 0.0000  6 P 2.79-2.80
P 0.5000 0.2364 0.2313  2 Zr 2.74, 1 Dy 2.79, 3 Pm 2.85-2.92
P 0.5000 0.7636 0.7687  2 Zr 2.74, 1 Dy 2.79, 3 Pm 2.85-2.92
Zr 0.0000 0.0000 0.0000  6 P 2.72-2.74



Record 6
Compound: EuCo9Si2
Source: Alexandria
Functional: GGA-PBE
Structure: optimized geometry

Properties
ΔE_f (raw) = -0.23 eV per atom
final energy = -7.324 eV per atom
V = 297 Å³/cell
magnetization = 6.54 Bohr magnetons per cell

Unit cell a=6.3001 b=7.5576 c=7.5576 alpha=80.00 beta=65.37 gamma=65.37
Closest atoms and distances in Å follow each position.
Fractional positions:
Co 0.1904 0.6684 0.5799  2 Si 2.36-2.38, 8 Co 2.41-2.64
Co 0.8588 0.3316 0.0799  2 Si 2.36-2.38, 8 Co 2.41-2.64
Co 0.4387 0.4201 0.3316  2 Si 2.36-2.38, 8 Co 2.41-2.64
Eu 0.6250 0.7500 0.2500  18 Co 3.05-3.15, 4 Si 3.39
Eu 0.3750 0.2500 0.7500  18 Co 3.05-3.15, 4 Si 3.39
Si 0.5000 0.5000 0.0000  10 Co 2.36-2.55
Co 0.1250 0.7500 0.2500  4 Si 2.55, 8 Co 2.62
Si 0.0000 0.0000 0.5000  10 Co 2.36-2.55
Co 0.5613 0.5799 0.6684  2 Si 2.36-2.38, 8 Co 2.41-2.64
Co 0.2703 0.1684 0.4201  2 Si 2.36-2.38, 8 Co 2.41-2.64
Co 0.1412 0.6684 0.9201  2 Si 2.36-2.38, 8 Co 2.41-2.64
Co 0.8750 0.2500 0.7500  4 Si 2.55, 8 Co 2.62
Si 0.0000 0.5000 0.5000  10 Co 2.36-2.55
Co 0.4387 0.8316 0.9201  2 Si 2.36-2.38, 8 Co 2.41-2.64
Co 0.7297 0.0799 0.3316  2 Si 2.36-2.38, 8 Co 2.41-2.64
Co 0.5613 0.1684 0.0799  2 Si 2.36-2.38, 8 Co 2.41-2.64
Co 0.8096 0.9201 0.8316  2 Si 2.36-2.38, 8 Co 2.41-2.64
Co 0.7297 0.8316 0.5799  2 Si 2.36-2.38, 8 Co 2.41-2.64
Co 0.8096 0.3316 0.4201  2 Si 2.36-2.38, 8 Co 2.41-2.64
Co 0.1904 0.0799 0.1684  2 Si 2.36-2.38, 8 Co 2.41-2.64
Co 0.1412 0.4201 0.1684  2 Si 2.36-2.38, 8 Co 2.41-2.64
Co 0.2703 0.9201 0.6684  2 Si 2.36-2.38, 8 Co 2.41-2.64
Si 0.0000 0.0000 0.0000  10 Co 2.36-2.55
Co 0.8588 0.5799 0.8316  2 Si 2.36-2.38, 8 Co 2.41-2.64



Record 7
Compound: Dy2ErIO8
Source: Alexandria
Functional: GGA-PBE
Structure: optimized geometry

Properties
ΔE_f (raw) = -2.36 eV per atom
final energy = -6.941 eV per atom
V = 171 Å³/cell
magnetization = 0.00 Bohr magnetons per cell

Unit cell a=5.0221 b=5.0202 c=6.7977 alpha=90.00 beta=90.00 gamma=90.97
Closest atoms and distances in Å follow each position.
Fractional positions:
O 0.8202 0.1801 0.2094  1 I 1.92
O 0.7307 0.7309 0.0000  1 I 1.90
Dy 0.5000 0.5000 0.7479  6 O 2.17-2.36
I 0.0000 0.0000 0.0000  6 O 1.90-1.92
Er 0.0000 0.0000 0.5000  6 O 2.16-2.36
O 0.8202 0.1801 0.7906  1 I 1.92
O 0.6934 0.6931 0.5000  1 Er 2.16, 2 Dy 2.17
O 0.1798 0.8199 0.2094  1 I 1.92
O 0.1798 0.8199 0.7906  1 I 1.92
O 0.2693 0.2691 0.0000  1 I 1.90
O 0.3066 0.3069 0.5000  1 Er 2.16, 2 Dy 2.17
Dy 0.5000 0.5000 0.2521  6 O 2.17-2.36



Record 8
Compound: PrSm2DyY6
Source: Alexandria
Functional: GGA-PBE
Structure: optimized geometry

Properties
final energy = -5.646 eV per atom
V = 666 Å³/cell
calculated formation energy = 0.11 eV per atom
magnetization = 0.00 Bohr magnetons per cell

Unit cell a=9.7549 b=8.8275 c=8.8275 alpha=117.63 beta=94.53 gamma=94.53
Closest atoms and distances in Å follow each position.
Fractional positions:
Y 0.9428 0.8785 0.2558  8 Y 3.44-3.84, 1 Sm 3.56, 1 Pr 3.68, 1 Dy 3.81
Sm 0.0457 0.2962 0.1955  6 Y 3.30-3.67, 2 Pr 3.40, 1 Dy 3.55
Y 0.3823 0.5084 0.2958  4 Y 3.27-3.53, 3 Sm 3.30-3.48, 2 Dy 3.43-3.57
Y 0.1177 0.7042 0.4916  4 Y 3.27-3.53, 3 Sm 3.30-3.48, 2 Dy 3.43-3.57
Dy 0.7500 0.5921 0.4079  8 Y 3.43-3.81, 2 Sm 3.55
Y 0.6177 0.4916 0.7042  4 Y 3.27-3.53, 3 Sm 3.30-3.48, 2 Dy 3.43-3.57
Y 0.3159 0.9824 0.4302  3 Y 3.27-3.64, 1 Sm 3.43, 1 Dy 3.48, 1 Pr 3.61
Y 0.6841 0.0176 0.5698  3 Y 3.27-3.64, 1 Sm 3.43, 1 Dy 3.48, 1 Pr 3.61
Y 0.8159 0.4302 0.9824  3 Y 3.27-3.64, 1 Sm 3.43, 1 Dy 3.48, 1 Pr 3.61
Sm 0.4543 0.8045 0.7038  6 Y 3.30-3.67, 2 Pr 3.40, 1 Dy 3.55
Y 0.8823 0.2958 0.5084  4 Y 3.27-3.53, 3 Sm 3.30-3.48, 2 Dy 3.43-3.57
Y 0.5572 0.7442 0.1215  8 Y 3.44-3.84, 1 Sm 3.56, 1 Pr 3.68, 1 Dy 3.81
Pr 0.7500 0.0209 0.9791  4 Sm 3.40, 4 Y 3.61-3.68
Sm 0.5457 0.1955 0.2962  6 Y 3.30-3.67, 2 Pr 3.40, 1 Dy 3.55
Y 0.0572 0.1215 0.7442  8 Y 3.44-3.84, 1 Sm 3.56, 1 Pr 3.68, 1 Dy 3.81
Y 0.4428 0.2558 0.8785  8 Y 3.44-3.84, 1 Sm 3.56, 1 Pr 3.68, 1 Dy 3.81
Y 0.1841 0.5698 0.0176  3 Y 3.27-3.64, 1 Sm 3.43, 1 Dy 3.48, 1 Pr 3.61
Dy 0.2500 0.4079 0.5921  8 Y 3.43-3.81, 2 Sm 3.55
Pr 0.2500 0.9791 0.0209  4 Sm 3.40, 4 Y 3.61-3.68
Sm 0.9543 0.7038 0.8045  6 Y 3.30-3.67, 2 Pr 3.40, 1 Dy 3.55



Record 9
Compound: La2ReNi
Source: Alexandria
Functional: GGA-PBE
Structure: optimized geometry

Properties
final energy = -6.144 eV per atom
offset from the most stable computed form = 79.3 kJ per mole of atoms
V = 198 Å³/cell
calculated formation energy = 0.88 eV per atom
magnetization = 0.00 Bohr magnetons per cell

Unit cell a=4.7741 b=4.7741 c=9.3312 alpha=75.18 beta=75.18 gamma=90.00
Closest atoms and distances in Å follow each position.
Fractional positions:
Re 0.7500 0.2500 0.5000  4 La 2.76
La 0.1264 0.6250 0.2500  2 Ni 2.75, 2 Re 2.76
La 0.8750 0.8736 0.7500  2 Ni 2.75, 2 Re 2.76
Ni 0.5000 0.5000 0.0000  4 La 2.75
Ni 0.2500 0.7500 0.5000  4 La 2.75
Re 0.0000 0.0000 0.0000  4 La 2.76
La 0.6236 0.1250 0.2500  2 Ni 2.75, 2 Re 2.76
La 0.3750 0.3764 0.7500  2 Ni 2.75, 2 Re 2.76



Record 10
Compound: SrSiN2O
Source: Alexandria
Functional: GGA-PBE
Structure: optimized geometry

Properties
ΔE_f (raw) = -0.88 eV per atom
final energy = -6.622 eV per atom
V = 54 Å³/cell
magnetization = 1.03 Bohr magnetons per cell

Unit cell a=3.6674 b=3.6674 c=4.0206 alpha=90.00 beta=90.00 gamma=90.00
Closest atoms and distances in Å follow each position.
Fractional positions:
O 0.0000 0.0000 0.5000  2 Si 2.01
Si 0.0000 0.0000 0.0000  4 N 1.83, 2 O 2.01
N 0.5000 0.0000 0.0000  2 Si 1.83
Sr 0.5000 0.5000 0.5000  4 O 2.59, 8 N 2.72
N 0.0000 0.5000 0.0000  2 Si 1.83



Which value of V does entry 7 give?
171 Å³/cell